Entry 1:
VASP calculation (PBE-GGA) on a relaxed Rb2SnMo crystal.

Calculated values
For the raw total energy, the calculation gives -3.32 eV/atom. Its density of states at the Fermi level is 2.5 states/eV/f.u.

```
8
Lattice="-6.729 8.858 -7.778 -3.968 -10.135 -8.110 -7.530 -0.982 -6.448" Properties=species:S:1:pos:R:3 pbc="T T T"
Rb -10.389 -3.079 -12.286
Mo -8.424 -5.878 -11.251
Rb -5.347 2.395 -6.056
Sn 0.000 0.000 0.000
Rb -14.278 0.011 -17.246
Sn -9.804 3.619 -11.085
Mo -5.349 -0.638 -7.944
Rb -6.442 -3.843 -9.084
```

Entry 2:
VASP calculation (PBE-GGA) on a relaxed RbSn2Mo crystal.

Calculated values
The energy relative to the lowest polymorph listed for this composition comes out at 0.000 eV/atom. Its density of states at the Fermi level is 1.8 states/eV/f.u.

```
8
Lattice="-5.338 2.869 2.523 2.026 -1.548 6.049 2.363 7.731 4.749" Properties=species:S:1:pos:R:3 pbc="T T T"
Sn -2.645 8.115 6.526
Mo 0.000 0.000 0.000
Sn -2.814 3.475 7.175
Rb 1.367 3.422 7.542
Rb -1.656 0.660 4.286
Sn -3.827 4.249 4.151
Mo -2.316 5.630 5.779
Sn 0.024 6.681 5.264
```

Entry 3:
VASP calculation (PBE-GGA) on a relaxed RbSn2Mo crystal.

Calculated values
The energy relative to the lowest polymorph listed for this composition comes out at 0.275 eV/atom. Its density of states at the Fermi level is 3.2 states/eV/f.u.

```
4
Lattice="0.000 3.724 3.724 3.724 0.000 3.724 3.724 3.724 0.000" Properties=species:S:1:pos:R:3 pbc="T T T"
Sn 1.862 1.862 1.862
Rb 0.000 0.000 0.000
Sn 5.586 5.586 5.586
Mo 3.724 3.724 3.724
```

Entry 4:
VASP calculation (PBE-GGA) on a relaxed Rb3SnMo crystal.

Calculated values
The energy relative to the lowest polymorph listed for this composition comes out at 0.000 eV/atom. Its density of states at the Fermi level is 3.3 states/eV/f.u.

```
5
Lattice="-0.792 -3.129 6.333 -2.148 -5.964 -3.215 6.729 -2.272 -0.281" Properties=species:S:1:pos:R:3 pbc="T T T"
Mo 1.895 -5.682 1.418
Rb 3.365 -1.136 -0.141
Rb -0.396 -1.564 3.166
Sn 0.000 0.000 0.000
Rb -1.074 -2.982 -1.608
```